No. 1
Crystalline RbErGeO4 at its relaxed geometry. Source: Alexandria, functional PBE. Values from VASP.

Values from the calculation:
* total DFT energy (no corrections): -46.707 eV/f.u.
* space-group type: P2_1/m, No. 11
* size of the total moment: 0.000 μB/f.u.
* formation energy from raw total energies: -2.3895 eV/atom
* density of states at the Fermi level: 0.00 states/eV/f.u.

```
&SYSTEM
  ibrav = 0, nat = 14, ntyp = 4
/
ATOMIC_SPECIES
Rb 85.47 Rb.upf
Er 167.26 Er.upf
Ge 72.64 Ge.upf
O 16.00 O.upf
CELL_PARAMETERS angstrom
-3.615 -0.923 4.351
-1.280 -5.331 -2.194
7.014 -2.531 2.059
ATOMIC_POSITIONS crystal
Rb 0.690 0.750 0.934
Rb 0.310 0.250 0.066
Er 0.800 0.750 0.464
Er 0.200 0.250 0.536
Ge 0.259 0.750 0.346
Ge 0.741 0.250 0.654
O 0.958 0.476 0.670
O 0.042 0.976 0.330
O 0.042 0.524 0.330
O 0.958 0.024 0.670
O 0.451 0.750 0.207
O 0.549 0.250 0.793
O 0.475 0.750 0.567
O 0.525 0.250 0.433
```

---

No. 2
Crystalline Rb4Er3GeO8 at its relaxed geometry. Source: Alexandria, functional PBE. Values from VASP.

Values from the calculation:
* total DFT energy (no corrections): -98.664 eV/f.u.
* space-group type: R-3m, No. 166
* size of the total moment: 0.000 μB/f.u.
* formation energy from raw total energies: -2.3014 eV/atom
* density of states at the Fermi level: 1.58 states/eV/f.u.

```
&SYSTEM
  ibrav = 0, nat = 16, ntyp = 4
/
ATOMIC_SPECIES
Rb 85.47 Rb.upf
Er 167.26 Er.upf
Ge 72.64 Ge.upf
O 16.00 O.upf
CELL_PARAMETERS angstrom
6.869 0.000 0.000
0.000 7.621 0.515
-3.435 -3.423 4.865
ATOMIC_POSITIONS crystal
Rb 0.500 0.000 0.000
Rb 0.500 0.000 0.500
Rb 0.000 0.000 0.000
Rb 0.000 0.000 0.500
Er 0.500 0.500 0.000
Er 0.500 0.500 0.500
Er 0.000 0.500 0.500
Ge 0.000 0.500 0.000
O 0.221 0.673 0.952
O 0.221 0.673 0.442
O 0.275 0.326 0.551
O 0.731 0.673 0.952
O 0.269 0.327 0.048
O 0.725 0.674 0.449
O 0.779 0.327 0.558
O 0.779 0.327 0.048
```